[1]
A plane-wave DFT calculation with GGA-PBE was carried out for crystalline Pu3S2 at its relaxed geometry.

Properties
The space group is Pnma, No. 62. The formation energy without anion corrections comes out at -543 kJ/mol of formula units. Its crystal system is orthorhombic. As for the total magnetization: 17.8 μB/f.u.

a = 3.8313 Å, b = 7.8438 Å, c = 14.9724 Å
α = 90.00°, β = 90.00°, γ = 90.00°
Last column: nearest neighbours and their distance in Å.
Sites, in units of the cell vectors:
Pu: 0.2500 0.1444 0.2131  5 S 2.74-2.91
Pu: 0.7500 0.8556 0.7869  5 S 2.74-2.91
Pu: 0.7500 0.3556 0.7131  5 S 2.74-2.91
Pu: 0.2500 0.6444 0.2869  5 S 2.74-2.91
Pu: 0.2500 0.3581 0.4434  4 S 2.76-2.97
Pu: 0.7500 0.6419 0.5566  4 S 2.76-2.97
Pu: 0.7500 0.1419 0.9434  4 S 2.76-2.97
Pu: 0.2500 0.8581 0.0566  4 S 2.76-2.97
Pu: 0.2500 0.9802 0.6127  5 S 2.76-3.07
Pu: 0.7500 0.0198 0.3873  5 S 2.76-3.07
Pu: 0.7500 0.5198 0.1127  5 S 2.76-3.07
Pu: 0.2500 0.4802 0.8873  5 S 2.76-3.07
S: 0.2500 0.2971 0.0486  6 Pu 2.74-2.81
S: 0.7500 0.7029 0.9514  6 Pu 2.74-2.81
S: 0.7500 0.2029 0.5486  6 Pu 2.74-2.81
S: 0.2500 0.7971 0.4514  6 Pu 2.74-2.81
S: 0.2500 0.1343 0.7921  8 Pu 2.84-3.07
S: 0.7500 0.8657 0.2079  8 Pu 2.84-3.07
S: 0.7500 0.3657 0.2921  8 Pu 2.84-3.07
S: 0.2500 0.6343 0.7079  8 Pu 2.84-3.07


[2]
A plane-wave DFT calculation with GGA-PBE was carried out for crystalline DyHoBeRh at its relaxed geometry.

Properties
The space group is F-43m, No. 216. Its formation energy is -386 meV/atom. Its crystal system is cubic. As for the total magnetization: 0.0 μB/f.u.

a = 4.8352 Å, b = 4.8352 Å, c = 4.8352 Å
α = 60.00°, β = 60.00°, γ = 60.00°
Last column: nearest neighbours and their distance in Å.
Sites, in units of the cell vectors:
Be: 0.0000 0.0000 0.0000  4 Dy 2.96, 4 Ho 2.96
Rh: 0.5000 0.5000 0.5000  4 Ho 2.96, 4 Dy 2.96
Ho: 0.2500 0.2500 0.2500  4 Be 2.96, 4 Rh 2.96
Dy: 0.7500 0.7500 0.7500  4 Be 2.96, 4 Rh 2.96


[3]
A plane-wave DFT calculation with GGA-PBE was carried out for crystalline Ce6ZnRu2 at its relaxed geometry.

Properties
The space group is C2/m, No. 12. Its formation energy is -184 meV/atom. Its crystal system is monoclinic. As for the total magnetization: 0.4 μB/f.u. The polymorph energy (0 for the lowest one) comes out at 86 meV per atom.

a = 5.2442 Å, b = 5.7632 Å, c = 8.9987 Å
α = 120.24°, β = 90.00°, γ = 117.06°
Last column: nearest neighbours and their distance in Å.
Sites, in units of the cell vectors:
Ce: 0.0070 0.0140 0.8448  3 Ru 2.82-3.13, 3 Ce 2.88-3.16, 1 Zn 3.06
Ce: 0.6654 0.3308 0.1562  3 Ru 2.80-3.11, 1 Ce 2.94, 1 Zn 3.06
Ce: 0.3346 0.6692 0.8438  3 Ru 2.80-3.11, 1 Ce 2.94, 1 Zn 3.06
Ce: 0.6427 0.2854 0.5005  3 Ce 2.92-3.24, 2 Ru 2.98-3.01, 2 Zn 3.00
Ce: 0.3573 0.7146 0.4995  3 Ce 2.92-3.24, 2 Ru 2.98-3.01, 2 Zn 3.00
Ce: 0.9930 0.9860 0.1552  3 Ru 2.82-3.13, 3 Ce 2.88-3.16, 1 Zn 3.06
Zn: 0.0000 0.0000 0.5000  8 Ce 3.00-3.06
Ru: 0.6764 0.3528 0.8520  8 Ce 2.80-3.13
Ru: 0.3236 0.6472 0.1480  8 Ce 2.80-3.13